No. 1
Material: Li6Ni
Method: DFT, PBE
State: optimized geometry

Cell and atoms, written as POSCAR:
```
Li6Ni
1.0
-3.180 3.180 3.180
3.180 -3.180 3.180
3.180 3.180 -3.180
Li Ni
6 1
direct
0.250 0.500 0.750
0.250 0.750 0.500
0.500 0.250 0.750
0.500 0.750 0.250
0.750 0.250 0.500
0.750 0.500 0.250
0.000 0.000 0.000
```

Results
Volume ... 129 Å³ per cell
Raw total energy ... -1.680 eV per atom
Total moment ... 0.67 μB per cell
Crystal system ... cubic

No. 2
Material: Rb3Hg7Au2
Method: DFT, PBE
State: optimized geometry

Cell and atoms, written as POSCAR:
```
Rb3Hg7Au2
1.0
3.282 1.895 10.069
-3.282 1.895 10.069
0.000 -3.790 10.069
Rb Hg Au
3 7 2
direct
0.000 0.000 0.000
0.145 0.145 0.145
0.855 0.855 0.855
0.071 0.580 0.580
0.420 0.420 0.929
0.420 0.929 0.420
0.500 0.500 0.500
0.580 0.071 0.580
0.580 0.580 0.071
0.929 0.420 0.420
0.334 0.334 0.334
0.666 0.666 0.666
```

Results
Volume ... 376 Å³ per cell
Raw total energy ... -1.169 eV per atom
E above lowest polymorph ... 0.00 eV per formula unit
Total moment ... 0.00 μB per cell
Crystal system ... trigonal

No. 3
Material: NbTlIr3
Method: DFT, PBE
State: optimized geometry

Cell and atoms, written as POSCAR:
```
NbTlIr3
1.0
4.846 0.000 0.000
0.000 4.846 0.000
0.000 0.000 4.846
Nb Tl Ir
1 1 3
direct
0.000 0.000 0.000
0.500 0.500 0.500
0.000 0.500 0.500
0.500 0.000 0.500
0.500 0.500 0.000
```

Results
Volume ... 114 Å³ per cell
Raw total energy ... -5.456 eV per atom
E above lowest polymorph ... 4.90 eV per formula unit
Total moment ... 0.01 μB per cell
Crystal system ... cubic

No. 4
Material: AgTeS3
Method: DFT, PBE
State: optimized geometry

Cell and atoms, written as POSCAR:
```
AgTeS3
1.0
6.062 0.000 0.000
0.000 12.799 0.000
0.000 0.000 6.539
Ag Te S
4 4 12
direct
0.000 0.000 0.000
0.000 0.500 0.000
0.500 0.000 0.500
0.500 0.500 0.500
0.045 0.250 0.463
0.455 0.750 0.963
0.545 0.250 0.037
0.955 0.750 0.537
0.104 0.037 0.400
0.104 0.463 0.400
0.170 0.250 0.967
0.330 0.750 0.467
0.396 0.537 0.900
0.396 0.963 0.900
0.604 0.037 0.100
0.604 0.463 0.100
0.670 0.250 0.533
0.830 0.750 0.033
0.896 0.537 0.600
0.896 0.963 0.600
```

Results
Volume ... 507 Å³ per cell
Raw total energy ... -3.571 eV per atom
E above lowest polymorph ... 0.00 eV per formula unit
Total moment ... 0.00 μB per cell
Crystal system ... orthorhombic

No. 5
Material: Rb6ICl5
Method: DFT, PBE
State: optimized geometry

Cell and atoms, written as POSCAR:
```
Rb6ICl5
1.0
4.201 -7.266 0.000
4.201 7.266 0.000
-2.814 0.000 7.889
Rb I Cl
6 1 5
direct
0.062 0.414 0.743
0.237 0.237 0.261
0.414 0.062 0.743
0.586 0.938 0.257
0.763 0.763 0.739
0.938 0.586 0.257
0.500 0.500 0.000
0.000 0.000 0.500
0.167 0.833 0.000
0.336 0.664 0.500
0.664 0.336 0.500
0.833 0.167 0.000
```

Results
Volume ... 482 Å³ per cell
Raw total energy ... -3.238 eV per atom
Total moment ... 0.19 μB per cell
Crystal system ... monoclinic

No. 6
Material: GeTe2RhN
Method: DFT, PBE
State: optimized geometry

Cell and atoms, written as POSCAR:
```
GeTe2RhN
1.0
5.525 0.000 0.000
0.000 5.525 0.000
0.000 0.000 3.657
Ge Te Rh N
1 2 1 1
direct
0.000 0.000 0.000
0.000 0.500 0.500
0.500 0.000 0.500
0.500 0.500 0.500
0.500 0.500 0.000
```

Results
Volume ... 112 Å³ per cell
Raw total energy ... -4.913 eV per atom
E above lowest polymorph ... 0.00 eV per formula unit
Total moment ... 0.00 μB per cell
Crystal system ... tetragonal

No. 7
Material: HfCrP2Cl
Method: DFT, PBE
State: optimized geometry

Cell and atoms, written as POSCAR:
```
HfCrP2Cl
1.0
4.611 0.000 0.000
0.000 4.611 0.000
0.000 0.000 4.394
Hf Cr P Cl
1 1 2 1
direct
0.000 0.000 0.000
0.500 0.500 0.500
0.000 0.500 0.500
0.500 0.000 0.500
0.500 0.500 0.000
```

Results
Volume ... 93 Å³ per cell
Raw total energy ... -6.229 eV per atom
E above lowest polymorph ... 0.00 eV per formula unit
Total moment ... 2.81 μB per cell
Crystal system ... tetragonal

No. 8
Material: Mo2RuPt
Method: DFT, PBE
State: optimized geometry

Cell and atoms, written as POSCAR:
```
Mo2RuPt
1.0
2.765 -3.950 0.000
2.765 3.950 0.000
0.000 0.000 2.770
Mo Ru Pt
2 1 1
direct
0.000 0.500 0.000
0.500 0.000 0.000
0.000 0.000 0.500
0.500 0.500 0.500
```

Results
Volume ... 61 Å³ per cell
Raw total energy ... -9.400 eV per atom
E above lowest polymorph ... 0.17 eV per formula unit
Total moment ... 0.00 μB per cell
Crystal system ... orthorhombic

No. 9
Material: Ca2TaMn
Method: DFT, PBE
State: optimized geometry

Cell and atoms, written as POSCAR:
```
Ca2TaMn
1.0
-5.485 5.485 2.188
5.485 -5.485 2.188
5.485 5.485 -2.188
Ca Ta Mn
4 2 2
direct
0.375 0.042 0.167
0.792 0.625 0.667
0.875 0.208 0.833
0.958 0.125 0.333
0.250 0.750 0.500
0.500 0.500 0.000
0.000 0.000 0.000
0.750 0.250 0.500
```

Results
Volume ... 263 Å³ per cell
Raw total energy ... -5.240 eV per atom
E above lowest polymorph ... 2.83 eV per formula unit
Total moment ... 0.00 μB per cell
Crystal system ... tetragonal

No. 10
Material: FeSn2Te
Method: DFT, PBE
State: optimized geometry

Cell and atoms, written as POSCAR:
```
FeSn2Te
1.0
-3.126 3.126 6.524
3.126 -3.126 6.524
3.126 3.126 -6.524
Fe Sn Te
2 4 2
direct
0.000 0.000 0.000
0.750 0.250 0.500
0.057 0.625 0.932
0.375 0.307 0.432
0.693 0.125 0.068
0.875 0.943 0.568
0.250 0.750 0.500
0.500 0.500 0.000
```

Results
Volume ... 255 Å³ per cell
Raw total energy ... -4.508 eV per atom
Total moment ... 4.15 μB per cell
Crystal system ... tetragonal

No. 11
Material: PuTe2Pd
Method: DFT, PBE
State: optimized geometry

Cell and atoms, written as POSCAR:
```
PuTe2Pd
1.0
2.249 1.299 8.421
-2.249 1.299 8.421
0.000 -2.597 8.421
Pu Te Pd
1 2 1
direct
0.000 0.000 0.000
0.399 0.399 0.399
0.601 0.601 0.601
0.500 0.500 0.500
```

Results
Volume ... 148 Å³ per cell
Raw total energy ... -6.794 eV per atom
E above lowest polymorph ... 1.63 eV per formula unit
Total moment ... 4.01 μB per cell
Crystal system ... trigonal

No. 12
Material: NbCo2NiS
Method: DFT, PBE
State: optimized geometry

Cell and atoms, written as POSCAR:
```
NbCo2NiS
1.0
4.321 0.000 0.000
0.000 4.321 0.000
0.000 0.000 4.048
Nb Co Ni S
1 2 1 1
direct
0.000 0.000 0.000
0.000 0.500 0.500
0.500 0.000 0.500
0.500 0.500 0.500
0.500 0.500 0.000
```

Results
Volume ... 76 Å³ per cell
Raw total energy ... -5.988 eV per atom
Total moment ... 2.14 μB per cell
Crystal system ... tetragonal

Question: Which value of volume does entry 10 give?
Answer: 255 Å³ per cell

Question: What is the raw total energy in the eleventh record?
Answer: -6.794 eV per atom

Question: raw total energy of number 12 (NbCo2NiS)?
Answer: -5.988 eV per atom

Question: What is the formula in the eighth record?
Answer: Mo2RuPt